This record from Alexandria via LeMat-Bulk describes an optimized crystal structure of K2CrCdO4. The functional is PBE with a Hubbard U.

abc: 5.8375 5.8375 5.8375
angles: 91.52 119.12 119.12
Closest atoms and distances in Å follow each position.
Fractional coordinates of all 8 atoms:
O 0.9394 0.5338 0.1706  1 Cr 1.81
K 0.0000 0.0000 0.0000  4 O 2.84
O 0.6368 0.4056 0.4662  1 Cr 1.81
K 0.5000 0.7500 0.2500  4 O 2.64
O 0.0606 0.2312 0.5944  1 Cr 1.81
Cd 0.5000 0.2500 0.7500  4 O 2.21
O 0.3632 0.8294 0.7688  1 Cr 1.81
Cr 0.0000 0.5000 0.5000  4 O 1.81

Values from the calculation:
N(E_F)	0.000	states/eV per atom
ρ	3.57	Mg/m³
total energy	-5.285	eV per atom